Record 1
Here is a geometry-optimized TbEuCuRu structure from the Alexandria database. Energies are from PBE.

Geometry as POSCAR:
```
TbEuCuRu
1.0
-4.115 2.012 -1.824
-2.233 -2.051 -3.888
-4.327 -2.293 0.569
Cu Tb Ru Eu
1 1 1 1
direct
0.250 0.250 0.250
0.000 0.000 0.000
0.750 0.750 0.750
0.500 0.500 0.500
```

Calculated values
Its calculated density is 9.32 Mg/m³. The density of states at the Fermi level is 2.57 states/eV per atom. The total energy comes out at -7.160 eV/atom. The value obtained for the total magnetic moment is 6.7 Bohr magnetons per cell. The energy of formation from the pure elements is -0.09 eV/atom.

=====

Record 2
Here is a geometry-optimized EuThCuRu structure from the Alexandria database. Energies are from PBE.

Geometry as POSCAR:
```
EuThCuRu
1.0
5.002 0.000 0.000
2.501 4.331 0.000
2.501 1.444 4.084
Th Cu Ru Eu
1 1 1 1
direct
0.000 0.000 0.000
0.250 0.250 0.250
0.750 0.750 0.750
0.500 0.500 0.500
```

Calculated values
Its calculated density is 10.30 Mg/m³. The density of states at the Fermi level is 0.48 states/eV per atom. The total energy comes out at -7.884 eV/atom. The value obtained for the total magnetic moment is 6.8 Bohr magnetons per cell. The energy of formation from the pure elements is -0.12 eV/atom.

=====

Record 3
Here is a geometry-optimized EuTmCuRu structure from the Alexandria database. Energies are from PBE.

Geometry as POSCAR:
```
EuTmCuRu
1.0
4.886 0.000 0.000
2.443 4.232 0.000
2.443 1.411 3.990
Eu Tm Cu Ru
1 1 1 1
direct
0.500 0.500 0.500
0.000 0.000 0.000
0.250 0.250 0.250
0.750 0.750 0.750
```

Calculated values
Its calculated density is 9.77 Mg/m³. The density of states at the Fermi level is 2.56 states/eV per atom. The total energy comes out at -7.145 eV/atom. The value obtained for the total magnetic moment is 6.8 Bohr magnetons per cell. The energy of formation from the pure elements is -0.12 eV/atom.

=====

Record 4
Here is a geometry-optimized EuYCuRu structure from the Alexandria database. Energies are from PBE.

Geometry as POSCAR:
```
EuYCuRu
1.0
4.932 0.000 0.000
2.466 4.271 0.000
2.466 1.424 4.027
Cu Ru Y Eu
1 1 1 1
direct
0.250 0.250 0.250
0.750 0.750 0.750
0.500 0.500 0.500
0.000 0.000 0.000
```

Calculated values
Its calculated density is 7.94 Mg/m³. The density of states at the Fermi level is 2.57 states/eV per atom. The total energy comes out at -7.614 eV/atom. The value obtained for the total magnetic moment is 6.8 Bohr magnetons per cell. The energy of formation from the pure elements is -0.09 eV/atom.

=====

Record 5
Here is a geometry-optimized Eu2CuS3 structure from the Alexandria database. Energies are from PBE.

Geometry as POSCAR:
```
Eu2CuS3
1.0
3.960 0.000 0.000
0.000 10.868 0.000
0.000 0.000 12.230
S Eu Cu
12 8 4
direct
0.250 0.877 0.580
0.750 0.951 0.123
0.250 0.246 0.177
0.250 0.746 0.323
0.250 0.049 0.877
0.750 0.254 0.677
0.750 0.451 0.377
0.750 0.754 0.823
0.250 0.377 0.920
0.750 0.123 0.420
0.250 0.549 0.623
0.750 0.623 0.080
0.250 0.512 0.212
0.250 0.307 0.505
0.750 0.193 0.005
0.250 0.012 0.288
0.250 0.807 0.995
0.750 0.488 0.788
0.750 0.693 0.495
0.750 0.988 0.712
0.750 0.766 0.220
0.750 0.266 0.280
0.250 0.734 0.720
0.250 0.234 0.780
```

Calculated values
Its calculated density is 5.85 Mg/m³. The density of states at the Fermi level is 2.28 states/eV per atom. The total energy comes out at -7.730 eV/atom. The value obtained for the total magnetic moment is 52.0 Bohr magnetons per cell.

=====

Record 6
Here is a geometry-optimized EuCuS2 structure from the Alexandria database. Energies are from PBE.

Geometry as POSCAR:
```
EuCuS2
1.0
-3.210 1.924 -2.189
-4.118 -0.601 1.216
-2.003 5.992 3.910
S Eu Cu
2 1 1
direct
0.899 0.899 0.302
0.101 0.101 0.698
0.500 0.500 0.500
0.000 0.000 0.000
```

Calculated values
Its calculated density is 4.08 Mg/m³. The density of states at the Fermi level is 1.10 states/eV per atom. The total energy comes out at -6.694 eV/atom. The value obtained for the total magnetic moment is 6.0 Bohr magnetons per cell.

=====

Record 7
Here is a geometry-optimized EuCu2SnS4 structure from the Alexandria database. Energies are from PBE.

Geometry as POSCAR:
```
EuCu2SnS4
1.0
-3.310 5.083 0.448
0.253 -2.526 -5.527
-8.515 -5.740 2.234
Sn Eu S Cu
2 2 8 4
direct
0.902 0.210 0.250
0.210 0.902 0.750
0.472 0.472 0.500
0.472 0.472 0.000
0.175 0.291 0.750
0.966 0.488 0.068
0.966 0.488 0.432
0.785 0.588 0.750
0.488 0.966 0.932
0.291 0.175 0.250
0.588 0.785 0.250
0.488 0.966 0.568
0.853 0.288 0.874
0.853 0.288 0.626
0.288 0.853 0.126
0.288 0.853 0.374
```

Calculated values
Its calculated density is 4.99 Mg/m³. The density of states at the Fermi level is 1.74 states/eV per atom. The total energy comes out at -5.634 eV/atom. The value obtained for the total magnetic moment is 14.0 Bohr magnetons per cell.

=====

Record 8
Here is a geometry-optimized EuCuSb structure from the Alexandria database. Energies are from PBE.

Geometry as POSCAR:
```
EuCuSb
1.0
-3.090 2.018 -2.591
3.151 -2.624 -1.877
-5.095 -6.721 0.841
Cu Eu Sb
2 2 2
direct
0.333 0.667 0.749
0.667 0.333 0.249
0.000 0.000 0.996
0.000 0.000 0.496
0.667 0.333 0.746
0.333 0.667 0.246
```

Calculated values
Its calculated density is 7.50 Mg/m³. The density of states at the Fermi level is 0.23 states/eV per atom. The total energy comes out at -6.883 eV/atom. The value obtained for the total magnetic moment is 14.0 Bohr magnetons per cell.